Compound: LaPb2Br
Source: Alexandria
Functional: GGA-PBE
Structure: optimized geometry

Cell lengths 5.649, 5.649, 5.649 Å; angles 60.00, 60.00, 60.00 degrees
Element x y z (fractional)
Pb  0.250  0.250  0.250
Pb  0.750  0.750  0.750
Br  0.000  0.000  0.000
La  0.500  0.500  0.500

Results
The value obtained for the total magnetization is 0.00 μB per atom. Its crystal system is cubic. Its uncorrected formation energy is -0.193 eV/atom. As for the symmetry: No. 225.